[1]
Here is crystalline Ag2BrO at its relaxed geometry from Alexandria. Energies are from GGA-PBEsol.

SG   Fm-3m, No. 225
Formation energy from raw total energies   0.30 eV per atom
Raw total energy   -50.09 eV per cell
Spin magnetization   4.0 Bohr magnetons per cell

Cell lengths 6.350, 6.350, 6.350 Å; angles 90.00, 90.00, 90.00 degrees
Element x y z (fractional)
Ag: 0.250 0.250 0.250
Ag: 0.250 0.250 0.750
Ag: 0.250 0.750 0.250
Ag: 0.250 0.750 0.750
Ag: 0.750 0.250 0.250
Ag: 0.750 0.250 0.750
Ag: 0.750 0.750 0.250
Ag: 0.750 0.750 0.750
Br: 0.000 0.000 0.000
Br: 0.000 0.500 0.500
Br: 0.500 0.000 0.500
Br: 0.500 0.500 0.000
O: 0.000 0.000 0.500
O: 0.000 0.500 0.000
O: 0.500 0.000 0.000
O: 0.500 0.500 0.500

=====

[2]
Here is crystalline WC2 at its relaxed geometry from Alexandria. Energies are from GGA-PBEsol.

SG   P-6m2, No. 187
Energy relative to the elements   162 kJ/mol of formula units
Raw total energy   -31.42 eV per cell
Spin magnetization   0.0 Bohr magnetons per cell
Offset from the most stable computed form   5.3 kJ per mole of atoms

Cell lengths 2.885, 2.885, 4.159 Å; angles 90.00, 90.00, 120.00 degrees
Element x y z (fractional)
W: 0.000 0.000 0.000
C: 0.333 0.667 0.338
C: 0.333 0.667 0.662

=====

Which value of raw total energy does entry 2 give? -31.42 eV per cell